This record from Alexandria describes a relaxed PrTmHg4 crystal. The functional is PBE-GGA.

a b c (Å): 10.5507 3.8924 8.0955
angles (deg): 90.00 110.92 90.00
Space group C2/m (No. 12)
Inequivalent atoms, fractional coordinates:
Pr 0.0000 0.0000 0.0000 (multiplicity 2)
Tm 0.0000 0.0000 0.5000 (multiplicity 2)
Hg 0.1661 0.5000 0.8170 (multiplicity 4)
Hg 0.1680 0.5000 0.3460 (multiplicity 4)

Its distance to the lowest polymorph of the same formula is 0.000 eV per atom.

This record from Alexandria describes a relaxed PrTmHg6 crystal. The functional is PBE-GGA.

a b c (Å): 5.0393 6.7540 11.6256
angles (deg): 90.00 90.00 90.00
Space group Amm2 (No. 38)
Inequivalent atoms, fractional coordinates:
Pr 0.0000 0.0000 0.0000 (multiplicity 2)
Tm 0.5000 0.0000 0.6734 (multiplicity 2)
Hg 0.0000 0.0000 0.5084 (multiplicity 2)
Hg 0.0000 0.2494 0.7511 (multiplicity 4)
Hg 0.5000 0.0000 0.1731 (multiplicity 2)
Hg 0.5000 0.2387 0.4178 (multiplicity 4)

Its distance to the lowest polymorph of the same formula is 0.000 eV per atom.

This record from Alexandria describes a relaxed Pr3Tm2Hg3 crystal. The functional is PBE-GGA.

a b c (Å): 3.7730 5.4927 22.5040
angles (deg): 90.00 90.00 90.00
Space group Immm (No. 71)
Inequivalent atoms, fractional coordinates:
Pr 0.0000 0.0000 0.0000 (multiplicity 2)
Pr 0.0000 0.5000 0.1233 (multiplicity 4)
Tm 0.0000 0.0000 0.2344 (multiplicity 4)
Hg 0.0000 0.0000 0.5000 (multiplicity 2)
Hg 0.0000 0.5000 0.3739 (multiplicity 4)

This record from Alexandria describes a relaxed Pr2Tm3Hg2 crystal. The functional is PBE-GGA.

a b c (Å): 11.9780 4.7633 8.2479
angles (deg): 90.00 116.01 90.00
Space group C2/m (No. 12)
Inequivalent atoms, fractional coordinates:
Pr 0.1357 0.0000 0.2878 (multiplicity 4)
Tm 0.0000 0.5000 0.5000 (multiplicity 2)
Tm 0.1281 0.5000 0.9539 (multiplicity 4)
Hg 0.1497 0.0000 0.7030 (multiplicity 4)

Quick rundown of calculated total energy, same order as above: -0.07667; -0.06339; -0.12399; -0.13143 hartree per atom
Quick rundown of formation energy from the elements, same order as above: -0.34; -0.34; -0.35; -0.21 eV per atom